1.
# PBE-GGA MgTa2Cd, optimized geometry
data_MgTa2Cd
_cell_length_a 3.460
_cell_length_b 3.460
_cell_length_c 6.665
_cell_angle_alpha 90.00
_cell_angle_beta 90.00
_cell_angle_gamma 90.00
_symmetry_space_group_name_H-M 'P 1'
_symmetry_Int_Tables_number 1
_symmetry_space_group_name_Hall 'P 1'
loop_
_atom_site_label
_atom_site_fract_x
_atom_site_fract_y
_atom_site_fract_z
_atom_site_occupancy
Mg1 0.000 0.000 0.000 1
Ta1 0.000 0.000 0.459 1
Ta2 0.500 0.500 0.273 1
Cd1 0.500 0.500 0.745 1
# E_tot (eV per formula unit): -25.23
# ΔE_f (eV per atom): 0.25
# Energy above the lowest structure with this stoichiometry (eV/atom): 0.137
# Total moment (μB/cell): 0.0

2.
# PBE-GGA Mg2TaCd, optimized geometry
data_Mg2TaCd
_cell_length_a 5.388
_cell_length_b 5.388
_cell_length_c 5.447
_cell_angle_alpha 100.77
_cell_angle_beta 100.77
_cell_angle_gamma 31.38
_symmetry_space_group_name_H-M 'P 1'
_symmetry_Int_Tables_number 1
_symmetry_space_group_name_Hall 'P 1'
loop_
_atom_site_label
_atom_site_fract_x
_atom_site_fract_y
_atom_site_fract_z
_atom_site_occupancy
Mg1 0.000 0.000 0.000 1
Mg2 0.245 0.245 0.748 1
Ta1 0.751 0.751 0.247 1
Cd1 0.501 0.501 0.480 1
# E_tot (eV per formula unit): -14.79
# ΔE_f (eV per atom): 0.29
# Total moment (μB/cell): 0.0

3.
# PBE-GGA Mg3TaCd, optimized geometry
data_Mg3TaCd
_cell_length_a 5.481
_cell_length_b 5.481
_cell_length_c 5.481
_cell_angle_alpha 90.00
_cell_angle_beta 90.00
_cell_angle_gamma 90.00
_symmetry_space_group_name_H-M 'P 1'
_symmetry_Int_Tables_number 1
_symmetry_space_group_name_Hall 'P 1'
loop_
_atom_site_label
_atom_site_fract_x
_atom_site_fract_y
_atom_site_fract_z
_atom_site_occupancy
Mg1 0.000 0.000 0.500 1
Mg2 0.000 0.500 0.000 1
Mg3 0.500 0.000 0.000 1
Ta1 0.000 0.000 0.000 1
Cd1 0.500 0.500 0.500 1
# E_tot (eV per formula unit): -11.39
# ΔE_f (eV per atom): 1.23
# Energy above the lowest structure with this stoichiometry (eV/atom): 0.117
# Total moment (μB/cell): 3.7

4.
# PBE-GGA MgTa2Cd, optimized geometry
data_MgTa2Cd
_cell_length_a 4.778
_cell_length_b 4.778
_cell_length_c 4.778
_cell_angle_alpha 60.00
_cell_angle_beta 60.00
_cell_angle_gamma 60.00
_symmetry_space_group_name_H-M 'P 1'
_symmetry_Int_Tables_number 1
_symmetry_space_group_name_Hall 'P 1'
loop_
_atom_site_label
_atom_site_fract_x
_atom_site_fract_y
_atom_site_fract_z
_atom_site_occupancy
Mg1 0.000 0.000 0.000 1
Ta1 0.250 0.250 0.250 1
Ta2 0.500 0.500 0.500 1
Cd1 0.750 0.750 0.750 1
# E_tot (eV per formula unit): -24.16
# ΔE_f (eV per atom): 0.51
# Energy above the lowest structure with this stoichiometry (eV/atom): 0.406
# Total moment (μB/cell): 1.0

5.
# PBE-GGA MgTaCd2, optimized geometry
data_MgTaCd2
_cell_length_a 2.956
_cell_length_b 4.372
_cell_length_c 6.170
_cell_angle_alpha 90.00
_cell_angle_beta 90.00
_cell_angle_gamma 90.00
_symmetry_space_group_name_H-M 'P 1'
_symmetry_Int_Tables_number 1
_symmetry_space_group_name_Hall 'P 1'
loop_
_atom_site_label
_atom_site_fract_x
_atom_site_fract_y
_atom_site_fract_z
_atom_site_occupancy
Mg1 0.000 0.000 0.000 1
Ta1 0.000 0.000 0.500 1
Cd1 0.500 0.500 0.256 1
Cd2 0.500 0.500 0.744 1
# E_tot (eV per formula unit): -14.22
# ΔE_f (eV per atom): 0.27
# Total moment (μB/cell): 0.0

6.
# PBE-GGA Mg2TaCd, optimized geometry
data_Mg2TaCd
_cell_length_a 5.304
_cell_length_b 5.304
_cell_length_c 5.304
_cell_angle_alpha 132.35
_cell_angle_beta 132.35
_cell_angle_gamma 69.68
_symmetry_space_group_name_H-M 'P 1'
_symmetry_Int_Tables_number 1
_symmetry_space_group_name_Hall 'P 1'
loop_
_atom_site_label
_atom_site_fract_x
_atom_site_fract_y
_atom_site_fract_z
_atom_site_occupancy
Mg1 0.250 0.750 0.500 1
Mg2 0.750 0.250 0.500 1
Ta1 0.000 0.000 0.000 1
Cd1 0.500 0.500 0.000 1
# E_tot (eV per formula unit): -14.19
# ΔE_f (eV per atom): 0.44
# Total moment (μB/cell): 0.0